Below is a relaxed structure of PRu2Au, with properties calculated at the GGA-PBE level.

a b c (Å): 6.932 6.932 5.544
angles (deg): 51.30 51.30 90.00
Element x y z (fractional)
Ru: 0.191 0.625 0.250
Au: 0.000 0.000 0.000
Ru: 0.375 0.441 0.750
P: 0.250 0.750 0.500
Au: 0.750 0.250 0.500
Ru: 0.875 0.809 0.750
P: 0.500 0.500 0.000
Ru: 0.559 0.125 0.250

## Properties
- crystal system = tetragonal
- total energy (eV/cell) = -53.77
- E_form (kcal/mol of atoms) = 2.03
- density of states at the Fermi level (states/eV per cell) = 6.26